No. 1
# Cs2Cd12Sn7 | Alexandria via LeMat-Bulk | PBE-GGA | optimized geometry
data_Cs2Cd12Sn7
_symmetry_space_group_name_H-M 'P 1'
_symmetry_Int_Tables_number 1
_cell_length_a 11.8058
_cell_length_b 11.8058
_cell_length_c 5.0231
_cell_angle_alpha 90.00
_cell_angle_beta 90.00
_cell_angle_gamma 120.00
loop_
_symmetry_equiv_pos_as_xyz
'x,y,z'
loop_
_atom_site_label
_atom_site_fract_x
_atom_site_fract_y
_atom_site_fract_z
_atom_site_occupancy
Cs1 0.3333 0.6667 0.2515 1
Cs2 0.6667 0.3333 0.7485 1
Cd1 0.0761 0.4173 0.7493 1
Cd2 0.1292 0.2634 0.2410 1
Cd3 0.1342 0.8708 0.2410 1
Cd4 0.2634 0.1342 0.7590 1
Cd5 0.3412 0.9239 0.7493 1
Cd6 0.4173 0.3412 0.2507 1
Cd7 0.5827 0.6588 0.7493 1
Cd8 0.6588 0.0761 0.2507 1
Cd9 0.7366 0.8658 0.2410 1
Cd10 0.8658 0.1292 0.7590 1
Cd11 0.8708 0.7366 0.7590 1
Cd12 0.9239 0.5827 0.2507 1
Sn1 0.0000 0.0000 0.5000 1
Sn2 0.0876 0.6745 0.7483 1
Sn3 0.3255 0.4131 0.7483 1
Sn4 0.4131 0.0876 0.2517 1
Sn5 0.5869 0.9124 0.7483 1
Sn6 0.6745 0.5869 0.2517 1
Sn7 0.9124 0.3255 0.2517 1
# * uncorrected energy: -41.6 eV per cell
# * ΔE_f: -0.0430 eV/atom
# * DOS at the Fermi energy: 7.85 states/eV per cell
# * magnetic moment: 0.0 μB per cell

=====

No. 2
# CsCdSn | Alexandria via LeMat-Bulk | PBE-GGA | optimized geometry
data_CsCdSn
_symmetry_space_group_name_H-M 'P 1'
_symmetry_Int_Tables_number 1
_cell_length_a 4.9652
_cell_length_b 4.9652
_cell_length_c 6.1117
_cell_angle_alpha 90.00
_cell_angle_beta 90.00
_cell_angle_gamma 120.00
loop_
_symmetry_equiv_pos_as_xyz
'x,y,z'
loop_
_atom_site_label
_atom_site_fract_x
_atom_site_fract_y
_atom_site_fract_z
_atom_site_occupancy
Cs1 0.0000 0.0000 0.0000 1
Cd1 0.6667 0.3333 0.5000 1
Sn1 0.3333 0.6667 0.5000 1
# * uncorrected energy: -6.1 eV per cell
# * ΔE_f: -0.1028 eV/atom
# * DOS at the Fermi energy: 2.28 states/eV per cell
# * magnetic moment: 0.6 μB per cell
# * E above lowest polymorph: 34.3 meV per atom